A geometry-optimized AcNd2Co6 structure, computed with GGA-PBE.

ΔH_f (0 K) = -0.0340 eV per atom
D(E_F) = 8.67 states/eV per cell
E_tot = -6.287 eV/atom

a b c (Å): 6.818 6.818 4.305
angles (deg): 90.00 90.00 120.00
Element x y z (fractional)
1 Ac 0.000 0.000 0.000
2 Nd 0.333 0.667 0.000
3 Nd 0.667 0.333 0.000
4 Co 0.000 0.336 0.500
5 Co 0.000 0.664 0.500
6 Co 0.336 0.000 0.500
7 Co 0.336 0.336 0.500
8 Co 0.664 0.000 0.500
9 Co 0.664 0.664 0.500



A geometry-optimized CoHgTe4 structure, computed with GGA-PBE.

Energy relative to the elements, uncorrected = 76.5 kJ/mol of atoms
D(E_F) = 8.62 states/eV per cell
E_tot = -2.536 eV/atom

a b c (Å): 6.370 6.370 6.370
angles (deg): 60.00 60.00 60.00
Element x y z (fractional)
1 Co 0.000 0.000 0.000
2 Hg 0.750 0.750 0.750
3 Te 0.375 0.375 0.375
4 Te 0.375 0.375 0.876
5 Te 0.375 0.876 0.375
6 Te 0.876 0.375 0.375



A geometry-optimized LaAlTlIr2 structure, computed with GGA-PBE.

ΔH_f (0 K) = 1.3777 eV per atom
D(E_F) = 3.54 states/eV per cell
E_tot = -4.374 eV/atom

a b c (Å): 5.025 5.025 5.706
angles (deg): 90.00 90.00 90.00
Element x y z (fractional)
1 La 0.000 0.000 0.000
2 Al 0.500 0.500 0.000
3 Tl 0.000 0.000 0.500
4 Ir 0.000 0.500 0.500
5 Ir 0.500 0.000 0.500



A geometry-optimized Pr8Hg2Ru structure, computed with GGA-PBE.

ΔH_f (0 K) = -0.0926 eV per atom
D(E_F) = 10.73 states/eV per cell
E_tot = -4.467 eV/atom

a b c (Å): 9.078 9.078 9.078
angles (deg): 148.11 120.39 69.21
Element x y z (fractional)
1 Pr 0.114 0.345 0.769
2 Pr 0.117 0.117 0.000
3 Pr 0.336 0.000 0.336
4 Pr 0.424 0.655 0.769
5 Pr 0.576 0.345 0.231
6 Pr 0.664 0.000 0.664
7 Pr 0.883 0.883 0.000
8 Pr 0.886 0.655 0.231
9 Hg 0.298 0.798 0.500
10 Hg 0.702 0.202 0.500
11 Ru 0.000 0.500 0.500



Look up the E_tot of the third one.
-4.374 eV/atom